No. 1
# NdSm3Tl3 (PBE-GGA, relaxed)
# - energy above the most stable polymorph in this dataset (meV per atom) = 25.2
data_NdSm3Tl3
_space_group_name_H-M_alt 'P 63/m'
_space_group_IT_number 176
_space_group_name_Hall '-P 6c'
_cell_length_a 9.6708
_cell_length_b 9.6708
_cell_length_c 5.2923
_cell_angle_alpha 90.00
_cell_angle_beta 90.00
_cell_angle_gamma 120.00
loop_
_atom_site_label
_atom_site_type_symbol
_atom_site_fract_x
_atom_site_fract_y
_atom_site_fract_z
Nd1 Nd 0.3333 0.6667 0.2500
Sm1 Sm 0.0018 0.7635 0.7500
Tl1 Tl 0.0688 0.4493 0.7500

No. 2
# Nd3SmTl4 (PBE-GGA, relaxed)
# - energy above the most stable polymorph in this dataset (meV per atom) = 0.0
data_Nd3SmTl4
_space_group_name_H-M_alt 'P 4/m m m'
_space_group_IT_number 123
_space_group_name_Hall '-P 4 2'
_cell_length_a 3.8959
_cell_length_b 3.8959
_cell_length_c 15.5856
_cell_angle_alpha 90.00
_cell_angle_beta 90.00
_cell_angle_gamma 90.00
loop_
_atom_site_label
_atom_site_type_symbol
_atom_site_fract_x
_atom_site_fract_y
_atom_site_fract_z
Nd1 Nd 0.0000 0.0000 0.0000
Nd2 Nd 0.0000 0.0000 0.2519
Sm1 Sm 0.0000 0.0000 0.5000
Tl1 Tl 0.5000 0.5000 0.1260
Tl2 Tl 0.5000 0.5000 0.3784

no.,ΔH_f (0 K) (kJ per mole of atoms),final energy (eV/atom)
1,-24.5,-3.972
2,-37.7,-3.952